The following is a DFT calculation (PBE) of crystalline Zn8GaPd2 at its relaxed geometry.

a b c (Å): 6.710 6.710 5.109
angles (deg): 102.61 102.61 53.39
Fractional positions:
Zn1 0.087 0.087 0.396
Zn2 0.119 0.690 0.082
Zn3 0.286 0.286 0.730
Zn4 0.310 0.881 0.918
Zn5 0.690 0.119 0.082
Zn6 0.714 0.714 0.270
Zn7 0.881 0.310 0.918
Zn8 0.913 0.913 0.604
Ga1 0.500 0.500 0.500
Pd1 0.277 0.277 0.235
Pd2 0.723 0.723 0.765

- N(E_F): 0.235 states/eV/atom
- Symmetry: No. 12

=====

The following is a DFT calculation (PBE) of crystalline La2BeCu at its relaxed geometry.

a b c (Å): 3.726 4.297 6.283
angles (deg): 90.00 106.93 90.00
Fractional positions:
La1 0.000 0.000 0.000
La2 0.291 0.500 0.588
Be1 0.596 0.500 0.195
Cu1 0.693 0.000 0.389

- N(E_F): 1.182 states/eV/atom
- Symmetry: No. 6
- Offset from the most stable computed form: 0.0000 eV per atom

=====

Values of energy of formation, in order: -0.1378; 0.0214, all in eV/atom.